(1)
An optimized crystal structure of K4Au5, computed with PBE.

abc: 7.6853 7.6853 7.6853
angles: 96.54 96.54 140.55
With the nearest neighbours (Å) after each atom.
Sites, in units of the cell vectors:
Au (0.3600, 0.6400, 0.0000)  2 Au 2.87
Au (0.0000, 0.0000, 0.0000)  4 K 3.04, 8 Au 3.29
K (0.0000, 0.2967, 0.2967)  5 Au 3.04-3.37
Au (0.6400, 0.6400, 0.2800)  2 Au 2.87
K (0.2967, 0.0000, 0.2967)  5 Au 3.04-3.37
Au (0.6400, 0.3600, 0.0000)  2 Au 2.87
K (0.0000, 0.7033, 0.7033)  5 Au 3.04-3.37
Au (0.3600, 0.3600, 0.7200)  2 Au 2.87
K (0.7033, 0.0000, 0.7033)  5 Au 3.04-3.37

- Symmetry: No. 139
- Total magnetic moment: 0.000 μB per cell
- Uncorrected energy: -0.1726 Ry/atom
- E_form: -40 meV per atom

---

(2)
An optimized crystal structure of TiMnS2, computed with PBE.

abc: 4.3373 4.3373 4.3373
angles: 60.00 60.00 60.00
With the nearest neighbours (Å) after each atom.
Sites, in units of the cell vectors:
S (0.7500, 0.7500, 0.7500)  4 Ti 2.66, 4 Mn 2.66
S (0.2500, 0.2500, 0.2500)  4 Mn 2.66, 4 Ti 2.66
Mn (0.5000, 0.5000, 0.5000)  8 S 2.66
Ti (0.0000, 0.0000, 0.0000)  8 S 2.66

- Uncorrected formation energy: -0.67 eV per atom
- Relative energy among the computed polymorphs: 262 meV per atom
- Symmetry: No. 225
- Total magnetic moment: 2.990 μB per cell
- Uncorrected energy: -0.5142 Ry/atom

---

Q: total magnetic moment of number 1 (K4Au5)?
A: 0.000 μB per cell